An optimized crystal structure of Cs3U2HgSe9. Source: Alexandria, functional PBE-GGA.

As for the total magnetization: 0.00 μB per formula unit. The value obtained for the raw formation energy is -0.91 eV per atom. The value obtained for the density of states at the Fermi level is 7.7 states/eV/f.u.

Cell: 7.737 7.737 9.620 Å, 90.00 90.00 120.00°
Atoms (fractional coordinates):
Cs (0.000, 0.000, 0.000)
Cs (0.333, 0.667, 0.658)
Cs (0.667, 0.333, 0.342)
U (0.333, 0.667, 0.168)
U (0.667, 0.333, 0.832)
Hg (0.000, 0.000, 0.500)
Se (0.000, 0.500, 0.000)
Se (0.170, 0.341, 0.319)
Se (0.170, 0.830, 0.319)
Se (0.341, 0.170, 0.681)
Se (0.500, 0.000, 0.000)
Se (0.500, 0.500, 0.000)
Se (0.659, 0.830, 0.319)
Se (0.830, 0.170, 0.681)
Se (0.830, 0.659, 0.681)